Here is an optimized crystal structure of La2AlPt from Alexandria via LeMat-Bulk. Energies are from PBEsol.

Properties
The total energy comes out at -6.086 eV per atom.

Cell lengths 3.704, 3.704, 7.246 Å; angles 90.00, 90.00, 90.00 degrees
Space group P4/mmm (No. 123)
Symmetry-distinct sites (fractional):
La  0.000  0.000  0.231 x2
Al  0.500  0.500  0.500 x1
Pt  0.500  0.500  0.000 x1

Here is an optimized crystal structure of La2AlPt from Alexandria via LeMat-Bulk. Energies are from PBEsol.

Properties
The total energy comes out at -6.135 eV per atom.

Cell lengths 4.212, 4.581, 10.695 Å; angles 90.00, 90.00, 90.00 degrees
Space group Amm2 (No. 38)
Symmetry-distinct sites (fractional):
La  0.000  0.000  0.000 x2
La  0.500  0.000  0.294 x2
Al  0.500  0.000  0.590 x2
Pt  0.000  0.000  0.724 x2

Here is an optimized crystal structure of La2AlPt from Alexandria via LeMat-Bulk. Energies are from PBEsol.

Properties
The total energy comes out at -6.147 eV per atom.

Cell lengths 4.5285, 4.5285, 16.0292 Å; angles 90.00, 90.00, 120.00 degrees
Space group R3m (No. 160, hexagonal axes)
Symmetry-distinct sites (fractional):
La  0.0000  0.0000  0.0000 x3
La  0.0000  0.0000  0.2162 x3
Al  0.0000  0.0000  0.4392 x3
Pt  0.0000  0.0000  0.7823 x3

Here is an optimized crystal structure of LaAlPt from Alexandria via LeMat-Bulk. Energies are from PBEsol.

Properties
The total energy comes out at -6.500 eV per atom.

Cell lengths 7.222, 4.496, 7.783 Å; angles 90.00, 90.00, 90.00 degrees
Space group Pnma (No. 62)
Symmetry-distinct sites (fractional):
La  0.035  0.250  0.178 x4
Al  0.142  0.250  0.567 x4
Pt  0.214  0.750  0.385 x4

Here is an optimized crystal structure of La2AlPtRh from Alexandria via LeMat-Bulk. Energies are from PBEsol.

Properties
The total energy comes out at -5.771 eV per atom.

Cell lengths 5.588, 5.588, 4.279 Å; angles 90.00, 90.00, 90.00 degrees
Space group P4/mmm (No. 123)
Symmetry-distinct sites (fractional):
La  0.000  0.500  0.000 x2
Al  0.000  0.000  0.000 x1
Pt  0.500  0.500  0.500 x1
Rh  0.000  0.000  0.500 x1

Here is an optimized crystal structure of LaAl2TlPt from Alexandria via LeMat-Bulk. Energies are from PBEsol.

Properties
The total energy comes out at -3.863 eV per atom.

Cell lengths 4.843, 4.843, 6.062 Å; angles 90.00, 90.00, 90.00 degrees
Space group P4/mmm (No. 123)
Symmetry-distinct sites (fractional):
La  0.000  0.000  0.000 x1
Al  0.000  0.500  0.500 x2
Tl  0.000  0.000  0.500 x1
Pt  0.500  0.500  0.000 x1

Here is an optimized crystal structure of RbLaAl2 from Alexandria via LeMat-Bulk. Energies are from PBEsol.

Properties
The total energy comes out at -3.331 eV per atom.

Cell lengths 7.814, 7.814, 7.814 Å; angles 90.00, 90.00, 90.00 degrees
Space group Fm-3m (No. 225)
Symmetry-distinct sites (fractional):
Rb  0.000  0.000  0.000 x4
La  0.000  0.000  0.500 x4
Al  0.250  0.250  0.250 x8

Here is an optimized crystal structure of La2AlRe from Alexandria via LeMat-Bulk. Energies are from PBEsol.

Properties
The total energy comes out at -6.782 eV per atom.

Cell lengths 7.000, 7.015, 3.845 Å; angles 90.00, 90.00, 90.00 degrees
Space group Cmmm (No. 65)
Symmetry-distinct sites (fractional):
La  0.250  0.250  0.000 x4
Al  0.000  0.000  0.500 x2
Re  0.000  0.500  0.500 x2

What total magnetization values result from the calculations? In sequence: 0.00; 0.00; 0.00; 0.00; 0.00; 0.00; 0.00; 0.00 Bohr magnetons per cell.